Hg2PbSe3 after structural relaxation, computed with PBE.

a = 4.114 Å, b = 13.981 Å, c = 10.904 Å
α = 90.00°, β = 90.00°, γ = 90.00°
Space group Cmcm (No. 63)
Unique sites:
Hg: 0.000 0.000 0.000 x4
Hg: 0.000 0.478 0.250 x4
Pb: 0.000 0.234 0.750 x4
Se: 0.000 0.105 0.250 x4
Se: 0.000 0.359 0.058 x8

Energy = -2.5766 eV/atom
ρ = 8.95 g/cm3